The following is a DFT calculation (GGA+U) of crystalline Li2FeP8O24 at its relaxed geometry.

Unit cell a=7.175 b=7.438 c=10.060 alpha=99.81 beta=108.22 gamma=107.82
Atoms (fractional coordinates):
Li  0.000  0.000  0.000
Li  0.149  0.949  0.741
Fe  0.454  0.007  0.548
P  0.197  0.302  0.573
P  0.242  0.691  0.961
P  0.467  0.285  0.303
P  0.491  0.716  0.766
P  0.722  0.722  0.455
P  0.728  0.317  0.120
P  0.953  0.277  0.770
P  0.977  0.753  0.265
O  0.038  0.487  0.891
O  0.040  0.340  0.649
O  0.043  0.141  0.833
O  0.098  0.272  0.413
O  0.178  0.855  0.920
O  0.182  0.814  0.395
O  0.266  0.211  0.171
O  0.269  0.142  0.621
O  0.346  0.719  0.122
O  0.392  0.650  0.880
O  0.396  0.851  0.696
O  0.402  0.507  0.644
O  0.484  0.175  0.416
O  0.526  0.511  0.384
O  0.548  0.306  0.987
O  0.623  0.869  0.484
O  0.668  0.297  0.258
O  0.714  0.215  0.707
O  0.726  0.788  0.832
O  0.784  0.746  0.315
O  0.799  0.156  0.070
O  0.904  0.724  0.578
O  0.922  0.524  0.186
O  0.968  0.860  0.152

Summary:
Space-group type: P1 (1)
DFT total energy: -6.8026 eV per atom
N(E_F): 11.0 states/eV/f.u.
Total magnetization: 0.233 μB/atom